Entry 1:
Computed, not measured: crystalline DyYCo2Si2C at its relaxed geometry at the PBE level of DFT.

Summary:
- Density: 6.80 g/cm3
- Crystal system: monoclinic

a b c (Å): 5.618 5.618 6.790
angles (deg): 126.74 126.74 40.32
Positions (direct):
Dy 0.000 0.000 0.000
Y 0.127 0.127 0.594
Co 0.364 0.364 0.209
Co 0.762 0.762 0.385
Si 0.407 0.407 0.593
Si 0.720 0.720 0.001
C 0.563 0.563 0.296

---

Entry 2:
Computed, not measured: crystalline DyYCo2C2 at its relaxed geometry at the PBE level of DFT.

Summary:
- Density: 7.23 g/cm3
- Crystal system: tetragonal

a b c (Å): 3.611 3.611 6.926
angles (deg): 90.00 90.00 90.00
Positions (direct):
Dy 0.000 0.000 0.000
Y 0.000 0.000 0.500
Co 0.500 0.500 0.250
Co 0.500 0.500 0.750
C 0.000 0.500 0.751
C 0.500 0.000 0.249

---

Entry 3:
Computed, not measured: crystalline Gd2ErCo2C2N3 at its relaxed geometry at the PBE level of DFT.

Summary:
- Density: 9.53 g/cm3
- Crystal system: tetragonal

a b c (Å): 9.993 9.993 9.993
angles (deg): 160.06 160.06 28.34
Positions (direct):
Gd 0.127 0.127 0.000
Gd 0.873 0.873 0.000
Er 0.500 0.500 0.000
Co 0.250 0.750 0.500
Co 0.750 0.250 0.500
C 0.307 0.307 0.000
C 0.693 0.693 0.000
N 0.000 0.000 0.000
N 0.380 0.380 0.000
N 0.620 0.620 0.000

---

Entry 4:
Computed, not measured: crystalline GdErCo2Si2C at its relaxed geometry at the PBE level of DFT.

Summary:
- Density: 7.93 g/cm3
- Crystal system: monoclinic

a b c (Å): 5.619 5.619 6.787
angles (deg): 126.74 126.74 40.31
Positions (direct):
Gd 0.000 0.000 0.000
Er 0.873 0.873 0.407
Co 0.237 0.237 0.614
Co 0.635 0.635 0.790
Si 0.280 0.280 0.000
Si 0.592 0.592 0.407
C 0.436 0.436 0.701

---

| no. | raw total energy (eV per cell) |
| --- | --- |
| 1 | -50.171 |
| 2 | -45.605 |
| 3 | -80.702 |
| 4 | -48.278 |